1.
NdYPd: relaxed, PBE-GGA.

Cell lengths 3.605, 7.266, 6.729 Å; angles 106.06, 105.55, 89.98 degrees
Positions (direct):
Nd 0.301 0.484 0.368
Nd 0.577 0.620 0.921
Y 0.576 0.120 0.918
Y 0.302 0.984 0.371
Pd 0.942 0.283 0.651
Pd 0.936 0.820 0.638

Computed properties:
* excess energy over the best structure of this formula in the dataset: 57 meV/atom
* formation energy from the elements: -0.50 eV/atom



2.
Cs2ScRh: relaxed, PBE-GGA.

Cell lengths 5.737, 5.737, 5.737 Å; angles 60.00, 60.00, 60.00 degrees
Positions (direct):
Sc 0.000 0.000 0.000
Cs 0.250 0.250 0.250
Cs 0.750 0.750 0.750
Rh 0.500 0.500 0.500

Computed properties:
* formation energy from the elements: 1.22 eV/atom



3.
Cs8HAu4: relaxed, PBE-GGA.

Cell lengths 10.121, 10.121, 10.121 Å; angles 61.43, 61.43, 61.43 degrees
Positions (direct):
Cs 0.740 0.268 0.740
Cs 0.251 0.251 0.251
Cs 0.749 0.749 0.749
Cs 0.732 0.260 0.260
Cs 0.268 0.740 0.740
Cs 0.740 0.740 0.268
Cs 0.260 0.260 0.732
Cs 0.260 0.732 0.260
H 0.500 0.500 0.500
Au 0.000 0.500 0.500
Au 0.500 0.500 0.000
Au 0.500 0.000 0.500
Au 0.000 0.000 0.000

Computed properties:
* VASP energy: -26.0 eV/cell